1.
Crystalline NaPuMnBr6 at its relaxed geometry, computed with GGA-PBE.

Values from the calculation:
Magnetic moment = 1.111 μB/atom
Energy relative to the elements, uncorrected = -1.26 eV per atom

Geometry as POSCAR:
```
NaPuMnBr6
1.0
7.1624 0.0000 0.0000
-3.5812 6.2028 0.0000
0.0000 0.0000 13.2722
Na Pu Mn Br
2 2 2 12
Direct
0.0000 0.0000 0.0000
0.0000 0.0000 0.5000
0.3333 0.6667 0.2500
0.6667 0.3333 0.7500
0.3333 0.6667 0.7500
0.6667 0.3333 0.2500
0.0200 0.3634 0.6324
0.0200 0.6566 0.8676
0.3434 0.3634 0.8676
0.3434 0.9800 0.6324
0.3634 0.0200 0.1324
0.3634 0.3434 0.3676
0.6367 0.6566 0.6324
0.6367 0.9800 0.8676
0.6566 0.0200 0.3676
0.6566 0.6367 0.1324
0.9800 0.3434 0.1324
0.9800 0.6367 0.3676
```

***

2.
Crystalline ZrCr2Ni2 at its relaxed geometry, computed with GGA-PBE.

Values from the calculation:
Magnetic moment = 0.000 μB/atom
Formation enthalpy at 0 K = 0.11 eV/atom
E above lowest polymorph = 0.30 eV per formula unit

Geometry as POSCAR:
```
ZrCr2Ni2
1.0
7.1981 0.0000 0.0000
0.0000 7.1981 0.0000
0.0000 0.0000 2.5849
Zr Cr Ni
2 4 4
Direct
0.0000 0.0000 0.0000
0.5000 0.5000 0.0000
0.1103 0.3897 0.0000
0.3897 0.8897 0.0000
0.6103 0.1103 0.0000
0.8897 0.6103 0.0000
0.1808 0.6808 0.5000
0.3192 0.1808 0.5000
0.6808 0.8192 0.5000
0.8192 0.3192 0.5000
```

***

3.
Crystalline Nd2Y2Al at its relaxed geometry, computed with GGA-PBE.

Values from the calculation:
Magnetic moment = 0.000 μB/atom
Formation enthalpy at 0 K = 0.44 eV/atom
E above lowest polymorph = 2.98 eV per formula unit

Geometry as POSCAR:
```
Nd2Y2Al
1.0
-2.1467 2.1467 8.9161
2.1467 -2.1467 8.9161
2.1467 2.1467 -8.9161
Nd Y Al
2 2 1
Direct
0.2500 0.7500 0.5000
0.7500 0.2500 0.5000
0.0844 0.0844 0.0000
0.9156 0.9156 0.0000
0.5000 0.5000 0.0000
```

***

- Number 1 is which compound?
  NaPuMnBr6

***

- Number 2 is which compound?
  ZrCr2Ni2